Record 1
This record from the Alexandria database describes Ba2SmMoO6 at its PBEsol-relaxed geometry. The functional is meta-GGA SCAN.

Unit cell a=5.9774 b=5.9774 c=5.9774 alpha=60.00 beta=60.00 gamma=60.00
Sites, in units of the cell vectors:
Sm: 0.0000 0.0000 0.0000
O: 0.7310 0.2690 0.7310
O: 0.2690 0.7310 0.2690
O: 0.2690 0.2690 0.7310
O: 0.7310 0.7310 0.2690
O: 0.2690 0.7310 0.7310
O: 0.7310 0.2690 0.2690
Ba: 0.7500 0.7500 0.7500
Ba: 0.2500 0.2500 0.2500
Mo: 0.5000 0.5000 0.5000

Values from the calculation:
final energy	-22.59	eV per atom
space-group type	No. 225
formation energy without anion corrections	-3.004	eV/atom

Record 2
This record from the Alexandria database describes Ba5Ti4MoO15 at its PBEsol-relaxed geometry. The functional is meta-GGA SCAN.

Unit cell a=3.9908 b=5.6460 c=14.4000 alpha=101.31 beta=90.00 gamma=90.00
Sites, in units of the cell vectors:
Ba: 0.5000 0.5000 0.0000
Ba: 0.5000 0.8982 0.7964
Ba: 0.5000 0.1018 0.2036
Ba: 0.5000 0.7002 0.4004
Ba: 0.5000 0.2998 0.5996
O: 0.0000 0.1999 0.9007
O: 0.0000 0.6013 0.7000
O: 0.0000 0.3987 0.3000
O: 0.5000 0.6000 0.2000
O: 0.0000 0.0000 0.5000
O: 0.5000 0.7998 0.5997
O: 0.0000 0.5000 0.5000
O: 0.0000 0.7008 0.9007
O: 0.5000 0.4000 0.8000
O: 0.0000 0.8001 0.0993
O: 0.5000 0.2002 0.4003
O: 0.0000 0.2992 0.0993
O: 0.0000 0.9013 0.3000
O: 0.5000 0.0000 0.0000
O: 0.0000 0.0987 0.7000
Mo: 0.0000 0.0000 0.0000
Ti: 0.0000 0.6006 0.2013
Ti: 0.0000 0.3994 0.7987
Ti: 0.0000 0.7997 0.5994
Ti: 0.0000 0.2003 0.4006

Values from the calculation:
final energy	-18.83	eV per atom
space-group type	No. 65
formation energy without anion corrections	-3.224	eV/atom

Record 3
This record from the Alexandria database describes Ba2TmMoO6 at its PBEsol-relaxed geometry. The functional is meta-GGA SCAN.

Unit cell a=5.8663 b=5.8663 c=5.8663 alpha=60.00 beta=60.00 gamma=60.00
Sites, in units of the cell vectors:
Tm: 0.0000 0.0000 0.0000
O: 0.2638 0.2638 0.7362
O: 0.7362 0.2638 0.2638
O: 0.2638 0.7362 0.7362
O: 0.7362 0.2638 0.7362
O: 0.7362 0.7362 0.2638
O: 0.2638 0.7362 0.2638
Mo: 0.5000 0.5000 0.5000
Ba: 0.7500 0.7500 0.7500
Ba: 0.2500 0.2500 0.2500

Values from the calculation:
final energy	-23.43	eV per atom
space-group type	No. 225
formation energy without anion corrections	-3.111	eV/atom

Record 4
This record from the Alexandria database describes Ba2YMoO6 at its PBEsol-relaxed geometry. The functional is meta-GGA SCAN.

Unit cell a=5.9043 b=5.9043 c=5.9043 alpha=60.00 beta=60.00 gamma=60.00
Sites, in units of the cell vectors:
O: 0.2344 0.7656 0.2344
O: 0.7656 0.7656 0.2344
O: 0.7656 0.2344 0.7656
O: 0.2344 0.7656 0.7656
O: 0.7656 0.2344 0.2344
O: 0.2344 0.2344 0.7656
Ba: 0.2500 0.2500 0.2500
Ba: 0.7500 0.7500 0.7500
Y: 0.5000 0.5000 0.5000
Mo: 0.0000 0.0000 0.0000

Values from the calculation:
final energy	-20.99	eV per atom
space-group type	No. 225
formation energy without anion corrections	-3.069	eV/atom

Please write out number 3 again, unchanged.
This record from the Alexandria database describes Ba2TmMoO6 at its PBEsol-relaxed geometry. The functional is meta-GGA SCAN.

Unit cell a=5.8663 b=5.8663 c=5.8663 alpha=60.00 beta=60.00 gamma=60.00
Sites, in units of the cell vectors:
Tm: 0.0000 0.0000 0.0000
O: 0.2638 0.2638 0.7362
O: 0.7362 0.2638 0.2638
O: 0.2638 0.7362 0.7362
O: 0.7362 0.2638 0.7362
O: 0.7362 0.7362 0.2638
O: 0.2638 0.7362 0.2638
Mo: 0.5000 0.5000 0.5000
Ba: 0.7500 0.7500 0.7500
Ba: 0.2500 0.2500 0.2500

Values from the calculation:
final energy	-23.43	eV per atom
space-group type	No. 225
formation energy without anion corrections	-3.111	eV/atom

final energy of number 3 (Ba2TmMoO6)? -23.43 eV per atom

The lowest final energy belongs to which entry? Ba2TmMoO6